# 1
Entry from the Alexandria database: Pr3Mg2Hg3 after structural relaxation (GGA-PBE).

extended XYZ file:
```
16
Lattice="9.167 0.000 0.000 -4.583 7.939 0.000 0.000 0.000 6.082" Properties=species:S:1:pos:R:3 pbc="T T T"
Pr -1.204 2.085 1.521
Pr -3.380 5.854 4.562
Pr 2.407 0.000 1.521
Pr 1.204 2.085 4.562
Pr 6.760 0.000 4.562
Pr 3.380 5.854 1.521
Mg 0.000 5.293 0.000
Mg 0.000 5.293 3.041
Mg 4.583 2.646 0.000
Mg 4.583 2.646 3.041
Hg -1.804 3.125 4.562
Hg -2.780 4.814 1.521
Hg 3.608 0.000 4.562
Hg 1.804 3.125 1.521
Hg 5.559 0.000 1.521
Hg 2.780 4.814 4.562
```

Calculated values
- ΔH_f (0 K): -8.523 kcal/mol of atoms
- Space group: P6_3/mcm
- Calculated total energy: -42.78 eV/cell
- Crystal system: hexagonal
- E above lowest polymorph: 0 meV/atom


# 2
Entry from the Alexandria database: GeBiPd after structural relaxation (GGA-PBE).

extended XYZ file:
```
6
Lattice="3.820 -2.161 0.000 3.820 2.161 0.000 -1.384 0.000 8.348" Properties=species:S:1:pos:R:3 pbc="T T T"
Ge 1.356 0.000 3.185
Ge 4.901 0.000 5.163
Bi -0.159 0.000 7.091
Bi 6.415 0.000 1.256
Pd 2.408 0.000 5.590
Pd 3.848 0.000 2.758
```

Calculated values
- ΔH_f (0 K): -4.890 kcal/mol of atoms
- Space group: C2/m
- Calculated total energy: -28.65 eV/cell
- Crystal system: monoclinic
- E above lowest polymorph: 5 meV/atom


# 3
Entry from the Alexandria database: PmSi2Ir2 after structural relaxation (GGA-PBE).

extended XYZ file:
```
5
Lattice="-2.054 2.054 5.068 2.054 -2.054 5.068 2.054 2.054 -5.068" Properties=species:S:1:pos:R:3 pbc="T T T"
Pm 0.000 0.000 0.000
Si 0.000 0.000 3.817
Si 0.000 0.000 6.319
Ir 2.054 0.000 2.534
Ir 0.000 2.054 2.534
```

Calculated values
- Space group: I4/mmm
- Calculated total energy: -38.65 eV/cell
- Crystal system: tetragonal
- E above lowest polymorph: 0 meV/atom
- ΔE_f (raw): -1066 meV per atom


# 4
Entry from the Alexandria database: RbPuSe after structural relaxation (GGA-PBE).

extended XYZ file:
```
6
Lattice="3.566 -3.578 0.000 3.566 3.578 0.000 -0.021 0.000 8.087" Properties=species:S:1:pos:R:3 pbc="T T T"
Rb 3.566 1.787 0.000
Rb 3.566 -1.787 0.000
Pu 3.556 1.790 4.043
Pu 3.556 -1.790 4.043
Se 1.776 0.000 2.350
Se 5.336 0.000 5.737
```

Calculated values
- Space group: C2/m
- Calculated total energy: -41.62 eV/cell
- Crystal system: monoclinic
- ΔE_f (raw): -675 meV per atom


# 5
Entry from the Alexandria database: AcTbTeO5 after structural relaxation (GGA-PBE).

extended XYZ file:
```
16
Lattice="4.048 -4.766 0.000 4.048 4.766 0.000 -3.569 0.000 7.344" Properties=species:S:1:pos:R:3 pbc="T T T"
Ac 1.372 4.202 5.508
Ac 3.156 -4.202 1.836
Tb 2.024 2.383 0.000
Tb 0.240 -2.383 3.672
Te 1.372 0.347 5.508
Te 3.156 -0.347 1.836
O 3.156 2.987 1.836
O 1.454 0.167 0.578
O -0.331 -0.167 4.249
O 0.525 1.689 6.571
O 2.218 1.689 4.445
O 2.309 -1.689 2.899
O 4.003 -1.689 0.773
O 4.859 0.167 3.094
O 3.074 -0.167 6.766
O 1.372 -2.987 5.508
```

Calculated values
- Space group: C2/c
- Calculated total energy: -113.38 eV/cell
- Crystal system: monoclinic
- ΔE_f (raw): -2502 meV per atom


# 6
Entry from the Alexandria database: ThAsBr after structural relaxation (GGA-PBE).

extended XYZ file:
```
3
Lattice="4.913 0.000 0.000 -2.456 4.254 0.000 0.000 0.000 3.828" Properties=species:S:1:pos:R:3 pbc="T T T"
Th 0.000 0.000 0.000
As 2.456 1.418 1.908
Br 0.000 2.836 3.818
```

Calculated values
- Space group: P3m1
- Calculated total energy: -16.34 eV/cell
- Crystal system: trigonal
- ΔE_f (raw): -868 meV per atom


# 7
Entry from the Alexandria database: FeCuHg2 after structural relaxation (GGA-PBE).

extended XYZ file:
```
4
Lattice="0.000 3.237 3.237 3.237 0.000 3.237 3.237 3.237 0.000" Properties=species:S:1:pos:R:3 pbc="T T T"
Fe 0.000 0.000 0.000
Cu 3.237 3.237 3.237
Hg 1.618 1.618 1.618
Hg 4.855 4.855 4.855
```

Calculated values
- ΔH_f (0 K): 9.237 kcal/mol of atoms
- Space group: Fm-3m
- Calculated total energy: -11.56 eV/cell
- Crystal system: cubic
- E above lowest polymorph: 84 meV/atom


# 8
Entry from the Alexandria database: TcAgTeO6 after structural relaxation (GGA-PBE).

extended XYZ file:
```
18
Lattice="5.335 0.000 0.000 -2.667 4.620 0.000 0.000 0.000 10.004" Properties=species:S:1:pos:R:3 pbc="T T T"
Tc 0.000 3.080 2.501
Tc 2.667 1.540 7.503
Ag 0.000 0.000 0.000
Ag 0.000 0.000 5.002
Te 0.000 3.080 7.503
Te 2.667 1.540 2.501
O -0.954 1.770 1.411
O -1.611 2.908 3.591
O 0.954 1.770 3.591
O -0.657 4.561 1.411
O 2.010 0.059 6.414
O 1.056 1.712 8.593
O 1.611 2.908 1.411
O 0.657 4.561 3.591
O 3.324 0.059 8.593
O 1.713 2.850 6.414
O 4.279 1.712 6.414
O 3.622 2.850 8.593
```

Calculated values
- Space group: P-31c
- Calculated total energy: -108.82 eV/cell
- Crystal system: trigonal
- ΔE_f (raw): -922 meV per atom


The records above give, respectively, magnetization values of 0.0; 0.0; 0.0; 6.9; 0.0; 0.0; 2.8; 0.0 μB per formula unit.